a:
Material: Nd2TeN
Method: DFT, GGA-PBE
State: optimized geometry

Unit cell a=3.8980 b=3.8980 c=14.4528 alpha=90.00 beta=90.00 gamma=120.00
Atoms (fractional coordinates):
Te (0.6667, 0.3333, 0.2500)
Te (0.3333, 0.6667, 0.7500)
Nd (0.3333, 0.6667, 0.0935)
Nd (0.3333, 0.6667, 0.4065)
Nd (0.6667, 0.3333, 0.9065)
Nd (0.6667, 0.3333, 0.5935)
N (0.0000, 0.0000, 0.0000)
N (0.0000, 0.0000, 0.5000)

Values from the calculation:
SG = P6_3/mmc, No. 194

=====

b:
Material: Nd2TeN
Method: DFT, GGA-PBE
State: optimized geometry

Unit cell a=7.0115 b=7.1580 c=8.3168 alpha=90.00 beta=88.75 gamma=90.00
Atoms (fractional coordinates):
Nd (0.5406, 0.6806, 0.2062)
Nd (0.8564, 0.3351, 0.4151)
Nd (0.9594, 0.1806, 0.7938)
Nd (0.0406, 0.8194, 0.2062)
Nd (0.6436, 0.8351, 0.5849)
Nd (0.3564, 0.1649, 0.4151)
Nd (0.1436, 0.6649, 0.5849)
Nd (0.4594, 0.3194, 0.7938)
Te (0.8039, 0.6053, 0.8729)
Te (0.1961, 0.3947, 0.1271)
Te (0.3039, 0.8947, 0.8729)
Te (0.6961, 0.1053, 0.1271)
N (0.8378, 0.6692, 0.3873)
N (0.1622, 0.3308, 0.6127)
N (0.6622, 0.1693, 0.6127)
N (0.3378, 0.8308, 0.3873)

Values from the calculation:
SG = P2_1/c, No. 14

=====

Least stable of them? b.

=====

a:
Material: Nd2TeN
Method: DFT, GGA-PBE
State: optimized geometry

Unit cell a=3.9024 b=3.9024 c=7.5406 alpha=75.00 beta=75.00 gamma=60.00
Atoms (fractional coordinates):
Nd (0.7291, 0.7291, 0.8127)
Nd (0.2709, 0.2709, 0.1873)
N (0.0000, 0.0000, 0.0000)
Te (0.5000, 0.5000, 0.5000)

Values from the calculation:
SG = R-3m, No. 166

=====

b:
Material: Nd2TeN
Method: DFT, GGA-PBE
State: optimized geometry

Unit cell a=3.8852 b=3.8852 c=7.6048 alpha=75.20 beta=75.20 gamma=60.00
Atoms (fractional coordinates):
Te (0.4996, 0.4996, 0.5011)
N (0.6688, 0.6688, 0.9937)
Nd (0.0614, 0.0614, 0.8159)
Nd (0.2702, 0.2702, 0.1893)

Values from the calculation:
SG = R3m, No. 160

=====

Least stable of them? b.

=====

a:
Material: Nd3TeN
Method: DFT, GGA-PBE
State: optimized geometry

Unit cell a=3.8090 b=7.5979 c=10.3537 alpha=90.00 beta=100.60 gamma=90.00
Atoms (fractional coordinates):
Nd (0.7738, 0.6344, 0.5475)
Nd (0.0971, 0.8690, 0.1942)
Nd (0.4256, 0.7665, 0.8511)
Nd (0.9029, 0.3690, 0.8058)
Nd (0.2262, 0.1344, 0.4525)
Nd (0.5744, 0.2665, 0.1489)
N (0.3498, 0.5213, 0.6996)
N (0.6502, 0.0213, 0.3004)
Te (0.1595, 0.5028, 0.3191)
Te (0.8405, 0.0028, 0.6809)

Values from the calculation:
SG = Cmc2_1, No. 36

=====

b:
Material: Nd3TeN
Method: DFT, GGA-PBE
State: optimized geometry

Unit cell a=4.9957 b=4.9957 c=4.9957 alpha=90.00 beta=90.00 gamma=90.00
Atoms (fractional coordinates):
Te (0.5000, 0.5000, 0.5000)
Nd (0.0000, 0.0000, 0.5000)
Nd (0.5000, 0.0000, 0.0000)
Nd (0.0000, 0.5000, 0.0000)
N (0.0000, 0.0000, 0.0000)

Values from the calculation:
SG = Pm-3m, No. 221

=====

Least stable of them? a.

=====

a:
Material: Nd3ThN4
Method: DFT, GGA-PBE
State: optimized geometry

Unit cell a=5.1637 b=5.1637 c=5.1637 alpha=90.00 beta=90.00 gamma=90.00
Atoms (fractional coordinates):
Nd (0.5000, 0.0000, 0.5000)
Nd (0.0000, 0.5000, 0.5000)
Nd (0.5000, 0.5000, 0.0000)
Th (0.0000, 0.0000, 0.0000)
N (0.5000, 0.0000, 0.0000)
N (0.0000, 0.0000, 0.5000)
N (0.0000, 0.5000, 0.0000)
N (0.5000, 0.5000, 0.5000)

Values from the calculation:
SG = Pm-3m, No. 221

=====

b:
Material: Nd3ThN4
Method: DFT, GGA-PBE
State: optimized geometry

Unit cell a=3.6610 b=6.3232 c=6.3232 alpha=109.39 beta=90.00 gamma=90.00
Atoms (fractional coordinates):
N (0.0000, 0.2404, 0.2404)
N (0.5000, 0.2438, 0.7562)
N (0.0000, 0.7596, 0.7596)
N (0.5000, 0.7562, 0.2438)
Nd (0.0000, 0.0000, 0.5000)
Nd (0.0000, 0.5000, 0.0000)
Nd (0.5000, 0.5000, 0.5000)
Th (0.5000, 0.0000, 0.0000)

Values from the calculation:
SG = Cmmm, No. 65

=====

Least stable of them? a.

=====

a:
Material: Nd2ThN3
Method: DFT, GGA-PBE
State: optimized geometry

Unit cell a=3.5969 b=7.1978 c=8.8285 alpha=108.21 beta=90.00 gamma=104.47
Atoms (fractional coordinates):
Nd (0.3292, 0.6584, 0.1626)
Nd (0.1700, 0.3400, 0.3349)
Nd (0.6708, 0.3416, 0.8374)
Nd (0.8300, 0.6600, 0.6651)
N (0.6299, 0.2599, 0.5283)
N (0.9755, 0.9509, 0.1916)
N (0.3701, 0.7401, 0.4717)
N (0.3111, 0.6222, 0.8625)
N (0.0245, 0.0491, 0.8084)
N (0.6889, 0.3778, 0.1375)
Th (0.5000, 0.0000, 0.0000)
Th (0.0000, 0.0000, 0.5000)

Values from the calculation:
SG = C2/m, No. 12

=====

b:
Material: Nd2ThN3
Method: DFT, GGA-PBE
State: optimized geometry

Unit cell a=3.6628 b=5.1672 c=6.3268 alpha=114.10 beta=106.83 gamma=90.00
Atoms (fractional coordinates):
Nd (0.1672, 0.1672, 0.8344)
Nd (0.8328, 0.8328, 0.1656)
N (0.1568, 0.6568, 0.8136)
N (0.8432, 0.3432, 0.1864)
N (0.5000, 0.0000, 0.5000)
Th (0.5000, 0.5000, 0.5000)

Values from the calculation:
SG = Immm, No. 71

=====

Least stable of them? a.

=====

a:
Material: Nd4Tl2N
Method: DFT, GGA-PBE
State: optimized geometry

Unit cell a=3.6831 b=9.3411 c=6.5752 alpha=118.65 beta=90.00 gamma=90.00
Atoms (fractional coordinates):
Nd (0.0000, 0.3850, 0.2416)
Nd (0.5000, 0.0438, 0.8084)
Nd (0.5000, 0.0990, 0.3345)
Nd (0.0000, 0.7578, 0.9013)
Tl (0.5000, 0.7258, 0.3254)
Tl (0.5000, 0.4170, 0.8175)
N (0.0000, 0.0714, 0.0714)

Values from the calculation:
SG = P2/m, No. 10

=====

b:
Material: Nd4Tl2N
Method: DFT, GGA-PBE
State: optimized geometry

Unit cell a=3.5333 b=5.1707 c=12.3845 alpha=102.05 beta=90.00 gamma=90.00
Atoms (fractional coordinates):
Nd (0.0000, 0.2976, 0.5953)
Nd (0.5000, 0.5671, 0.1343)
Nd (0.0000, 0.7024, 0.4047)
Nd (0.5000, 0.4329, 0.8657)
Tl (0.5000, 0.1591, 0.3182)
Tl (0.5000, 0.8409, 0.6818)
N (0.0000, 0.5000, 0.0000)

Values from the calculation:
SG = Cmmm, No. 65

=====

Least stable of them? b.

=====

a:
Material: Nd6Tl2N
Method: DFT, GGA-PBE
State: optimized geometry

Unit cell a=3.6119 b=9.3876 c=8.9781 alpha=121.52 beta=90.00 gamma=90.00
Atoms (fractional coordinates):
Tl (0.0000, 0.3074, 0.6670)
Tl (0.0000, 0.6405, 0.3330)
Nd (0.0000, 0.2270, 0.0000)
Nd (0.5000, 0.3982, 0.4219)
Nd (0.5000, 0.5932, 0.0000)
Nd (0.5000, 0.9764, 0.5781)
Nd (0.0000, 0.7943, 0.7893)
Nd (0.0000, 0.0050, 0.2107)
N (0.5000, 0.0580, 0.0000)

Values from the calculation:
SG = Amm2, No. 38

=====

b:
Material: Nd6Tl2N
Method: DFT, GGA-PBE
State: optimized geometry

Unit cell a=7.1580 b=7.1580 c=7.1585 alpha=60.00 beta=60.00 gamma=60.01
Atoms (fractional coordinates):
Nd (0.2557, 0.2557, 0.7436)
Nd (0.7443, 0.7443, 0.2564)
Nd (0.2556, 0.7439, 0.7445)
Nd (0.2561, 0.7444, 0.2555)
Nd (0.7444, 0.2561, 0.2555)
Nd (0.7439, 0.2556, 0.7445)
Tl (0.7500, 0.7500, 0.7502)
Tl (0.2500, 0.2500, 0.2498)
N (0.5000, 0.5000, 0.5000)

Values from the calculation:
SG = Fm-3m, No. 225

=====

Least stable of them? a.

=====

a:
Material: NdTmN
Method: DFT, GGA-PBE
State: optimized geometry

Unit cell a=3.5115 b=3.5115 c=6.2296 alpha=90.00 beta=90.00 gamma=120.00
Last column: magnetic moment on the atom in μB.
Atoms (fractional coordinates):
Tm (0.3333, 0.6667, 0.5400)  0.21
N (0.6667, 0.3333, 0.3591)  -0.01
Nd (0.0000, 0.0000, 0.1009)  0.15

Values from the calculation:
SG = P3m1, No. 156

=====

b:
Material: NdTmN
Method: DFT, GGA-PBE
State: optimized geometry

Unit cell a=3.3686 b=4.9829 c=4.9829 alpha=79.34 beta=109.73 gamma=109.73
Last column: magnetic moment on the atom in μB.
Atoms (fractional coordinates):
Nd (0.1527, 0.9833, 0.9833)  0.17
Tm (0.6179, 0.4490, 0.4490)  0.20
N (0.9127, 0.2435, 0.2435)  0.01

Values from the calculation:
SG = Imm2, No. 44

=====

c:
Material: NdTmN
Method: DFT, GGA-PBE
State: optimized geometry

Unit cell a=4.3079 b=4.3079 c=4.3079 alpha=60.00 beta=60.00 gamma=60.00
Atoms (fractional coordinates):
Tm (0.5000, 0.5000, 0.5000)
Nd (0.0000, 0.0000, 0.0000)
N (0.2500, 0.2500, 0.2500)

Values from the calculation:
SG = F-43m, No. 216

=====

d:
Material: NdTmN
Method: DFT, GGA-PBE
State: optimized geometry

Unit cell a=3.2738 b=3.2738 c=7.2471 alpha=103.05 beta=103.05 gamma=90.00
Atoms (fractional coordinates):
Tm (0.0287, 0.0287, 0.0573)
Nd (0.3251, 0.3251, 0.6501)
N (0.4963, 0.4963, 0.9926)

Values from the calculation:
SG = I4mm, No. 107

=====

Least stable of them? c.